1.
! Tb2TmTl2Cd2 | Alexandria | PBE | relaxed; values from VASP
! DOS at the Fermi energy (states/eV per cell): 4.70
! Energy relative to the elements (meV/atom): -104.3
! Total energy (eV/atom): -3.004
! Size of the total moment (μB per atom): 0.000
&SYSTEM
  ibrav = 0, nat = 7, ntyp = 4
/
ATOMIC_SPECIES
Tb 158.93 Tb.upf
Tm 168.93 Tm.upf
Tl 204.38 Tl.upf
Cd 112.41 Cd.upf
CELL_PARAMETERS angstrom
2.5041 1.4457 8.6813
-2.5041 1.4457 8.6813
0.0000 -2.8915 8.6813
ATOMIC_POSITIONS angstrom
Tb 0.0000 0.0000 3.4286
Tb 0.0000 0.0000 22.6152
Tm 0.0000 0.0000 0.0000
Tl 0.0000 0.0000 7.0820
Tl 0.0000 0.0000 18.9618
Cd 0.0000 0.0000 11.0422
Cd 0.0000 0.0000 15.0016


2.
! TbY2Tl2Cd2 | Alexandria | PBE | relaxed; values from VASP
! DOS at the Fermi energy (states/eV per cell): 4.74
! Energy relative to the elements (meV/atom): -142.7
! Total energy (eV/atom): -3.589
! Size of the total moment (μB per atom): 0.000
&SYSTEM
  ibrav = 0, nat = 7, ntyp = 4
/
ATOMIC_SPECIES
Tb 158.93 Tb.upf
Y 88.91 Y.upf
Tl 204.38 Tl.upf
Cd 112.41 Cd.upf
CELL_PARAMETERS angstrom
2.5042 1.4458 8.7688
-2.5042 1.4458 8.7688
0.0000 -2.8916 8.7688
ATOMIC_POSITIONS angstrom
Tb 0.0000 0.0000 0.0000
Y 0.0000 0.0000 3.4721
Y 0.0000 0.0000 22.8344
Tl 0.0000 0.0000 7.1083
Tl 0.0000 0.0000 19.1982
Cd 0.0000 0.0000 11.1780
Cd 0.0000 0.0000 15.1285


3.
! TbTm7Cd2 | Alexandria | PBE | relaxed; values from VASP
! DOS at the Fermi energy (states/eV per cell): 20.07
! Energy relative to the elements (meV/atom): 426.0
! Total energy (eV/atom): -3.350
! Size of the total moment (μB per atom): 0.000
&SYSTEM
  ibrav = 0, nat = 10, ntyp = 3
/
ATOMIC_SPECIES
Tb 158.93 Tb.upf
Tm 168.93 Tm.upf
Cd 112.41 Cd.upf
CELL_PARAMETERS angstrom
4.4400 -7.7681 0.0000
4.4400 7.7681 0.0000
0.0000 0.0000 5.1833
ATOMIC_POSITIONS angstrom
Tb 0.0000 0.0000 0.0000
Tm 1.6144 1.8220 2.5917
Tm 4.4400 4.2907 0.0000
Tm 1.6144 -1.8220 2.5917
Tm 4.4400 0.0000 2.5917
Tm 7.2657 1.8220 2.5917
Tm 4.4400 -4.2907 0.0000
Tm 7.2657 -1.8220 2.5917
Cd 4.4400 3.0379 2.5917
Cd 4.4400 -3.0379 2.5917


4.
! Tb6Tm3Cd | Alexandria | PBE | relaxed; values from VASP
! DOS at the Fermi energy (states/eV per cell): 23.98
! Energy relative to the elements (meV/atom): 51.1
! Total energy (eV/atom): -4.160
! Size of the total moment (μB per atom): 0.000
&SYSTEM
  ibrav = 0, nat = 20, ntyp = 3
/
ATOMIC_SPECIES
Tb 158.93 Tb.upf
Tm 168.93 Tm.upf
Cd 112.41 Cd.upf
CELL_PARAMETERS angstrom
4.8367 -10.0277 0.0000
4.8367 10.0277 0.0000
0.0000 0.0000 6.2810
ATOMIC_POSITIONS angstrom
Tb 4.8367 9.6400 3.1405
Tb 3.0773 4.3448 0.1174
Tb 3.0656 1.1144 1.4805
Tb 4.8367 4.3265 2.9023
Tb 3.0656 -1.1144 4.6210
Tb 6.5960 4.3448 0.1174
Tb 3.0773 -4.3448 3.2579
Tb 6.6078 1.1144 1.4805
Tb 4.8367 -4.3265 6.0428
Tb 6.6078 -1.1144 4.6210
Tb 6.5960 -4.3448 3.2579
Tb 4.8367 -9.6400 0.0000
Tm 1.6444 2.5145 4.1801
Tm 1.6444 -2.5145 1.0396
Tm 4.8367 1.7453 4.7831
Tm 4.8367 -1.7453 1.6426
Tm 8.0290 2.5145 4.1801
Tm 8.0290 -2.5145 1.0396
Cd 4.8367 6.9553 4.6404
Cd 4.8367 -6.9553 1.5000


5.
! Tb2TmCd4 | Alexandria | PBE | relaxed; values from VASP
! DOS at the Fermi energy (states/eV per cell): 6.89
! Energy relative to the elements (meV/atom): 282.6
! Total energy (eV/atom): -2.202
! Size of the total moment (μB per atom): 0.000
&SYSTEM
  ibrav = 0, nat = 7, ntyp = 3
/
ATOMIC_SPECIES
Tb 158.93 Tb.upf
Tm 168.93 Tm.upf
Cd 112.41 Cd.upf
CELL_PARAMETERS angstrom
-2.7796 2.7796 7.7983
2.7796 -2.7796 7.7983
2.7796 2.7796 -7.7983
ATOMIC_POSITIONS angstrom
Tb 0.0000 0.0000 1.6221
Tb 0.0000 0.0000 13.9746
Tm 0.0000 0.0000 7.7983
Cd 2.7796 0.0000 0.0000
Cd 0.0000 0.0000 4.7786
Cd 0.0000 2.7796 0.0000
Cd 0.0000 0.0000 10.8181


6.
! Tb5TmCd4 | Alexandria | PBE | relaxed; values from VASP
! DOS at the Fermi energy (states/eV per cell): 13.57
! Energy relative to the elements (meV/atom): -237.2
! Total energy (eV/atom): -3.366
! Size of the total moment (μB per atom): 0.040
&SYSTEM
  ibrav = 0, nat = 10, ntyp = 3
/
ATOMIC_SPECIES
Tb 158.93 Tb.upf
Tm 168.93 Tm.upf
Cd 112.41 Cd.upf
CELL_PARAMETERS angstrom
3.6957 0.0000 0.0000
0.0000 3.6957 0.0000
0.0000 0.0000 20.2255
ATOMIC_POSITIONS angstrom
Tb 0.0000 0.0000 0.0000
Tb 0.0000 0.0000 3.8388
Tb 0.0000 0.0000 7.7334
Tb 0.0000 0.0000 12.4921
Tb 0.0000 0.0000 16.3867
Tm 1.8478 1.8478 10.1127
Cd 1.8478 1.8478 1.9239
Cd 1.8478 1.8478 5.7956
Cd 1.8478 1.8478 14.4299
Cd 1.8478 1.8478 18.3016


7.
! Tb6Tm2Cd | Alexandria | PBE | relaxed; values from VASP
! DOS at the Fermi energy (states/eV per cell): 13.64
! Energy relative to the elements (meV/atom): 123.9
! Total energy (eV/atom): -4.058
! Size of the total moment (μB per atom): 0.000
&SYSTEM
  ibrav = 0, nat = 9, ntyp = 3
/
ATOMIC_SPECIES
Tb 158.93 Tb.upf
Tm 168.93 Tm.upf
Cd 112.41 Cd.upf
CELL_PARAMETERS angstrom
8.7604 -4.7889 0.0000
8.7604 4.7889 0.0000
-0.6901 0.0000 3.4105
ATOMIC_POSITIONS angstrom
Tb 5.6151 1.7657 1.1275
Tb 8.7604 2.8312 0.0000
Tb 11.2157 1.7657 2.2830
Tb 5.6151 -1.7657 1.1275
Tb 8.7604 -2.8312 0.0000
Tb 11.2157 -1.7657 2.2830
Tm 2.7406 0.0000 0.5841
Tm 14.0902 0.0000 2.8264
Cd 8.4154 0.0000 1.7053


8.
! TbTm2Cd2 | Alexandria | PBE | relaxed; values from VASP
! DOS at the Fermi energy (states/eV per cell): 9.01
! Energy relative to the elements (meV/atom): -254.3
! Total energy (eV/atom): -3.335
! Size of the total moment (μB per atom): 0.000
&SYSTEM
  ibrav = 0, nat = 10, ntyp = 3
/
ATOMIC_SPECIES
Tb 158.93 Tb.upf
Tm 168.93 Tm.upf
Cd 112.41 Cd.upf
CELL_PARAMETERS angstrom
3.6862 0.0000 0.0000
0.0000 5.3091 0.0000
-1.8467 0.0000 13.6426
ATOMIC_POSITIONS angstrom
Tb 0.0010 1.3273 4.0664
Tb 1.8386 3.9818 9.5762
Tm -0.0001 3.9818 1.2560
Tm -0.0029 3.9818 6.4556
Tm 1.8424 1.3273 7.1870
Tm 1.8396 1.3273 12.3866
Cd -0.0033 1.3273 9.7852
Cd -0.0030 3.9818 12.2840
Cd 1.8425 1.3273 1.3586
Cd 1.8428 3.9818 3.8574


9.
! TbTm4Cd4 | Alexandria | PBE | relaxed; values from VASP
! DOS at the Fermi energy (states/eV per cell): 15.69
! Energy relative to the elements (meV/atom): -98.3
! Total energy (eV/atom): -3.007
! Size of the total moment (μB per atom): 0.000
&SYSTEM
  ibrav = 0, nat = 18, ntyp = 3
/
ATOMIC_SPECIES
Tb 158.93 Tb.upf
Tm 168.93 Tm.upf
Cd 112.41 Cd.upf
CELL_PARAMETERS angstrom
9.3988 0.0000 0.0000
0.0000 9.3988 0.0000
0.0000 0.0000 5.5131
ATOMIC_POSITIONS angstrom
Tb 2.3497 2.3497 1.3783
Tb 7.0491 7.0491 4.1349
Tm 0.9275 7.7586 3.6859
Tm 1.6402 5.6269 0.9294
Tm 3.0592 8.4713 0.9294
Tm 3.7719 6.3396 3.6859
Tm 5.6269 3.0592 1.8272
Tm 6.3396 0.9275 4.5838
Tm 7.7586 3.7719 4.5838
Tm 8.4713 1.6402 1.8272
Cd 0.4595 1.3521 4.5738
Cd 1.3521 4.2399 3.6959
Cd 3.3473 0.4595 3.6959
Cd 4.2399 3.3473 4.5738
Cd 5.1589 6.0515 0.9393
Cd 6.0515 8.9393 1.8173
Cd 8.0467 5.1589 1.8173
Cd 8.9393 8.0467 0.9393


10.
! Tb7Tm12Cd | Alexandria | PBE | relaxed; values from VASP
! DOS at the Fermi energy (states/eV per cell): 26.43
! Energy relative to the elements (meV/atom): 71.2
! Total energy (eV/atom): -4.278
! Size of the total moment (μB per atom): 0.000
&SYSTEM
  ibrav = 0, nat = 20, ntyp = 3
/
ATOMIC_SPECIES
Tb 158.93 Tb.upf
Tm 168.93 Tm.upf
Cd 112.41 Cd.upf
CELL_PARAMETERS angstrom
8.6373 0.0000 0.0000
-1.1736 8.7116 0.0000
-1.0084 -4.2827 8.2316
ATOMIC_POSITIONS angstrom
Tb 0.0000 0.0000 0.0000
Tb 0.1610 2.4943 5.2260
Tb 1.7358 6.0726 0.1588
Tb 2.4575 -0.1608 5.9274
Tb 3.9978 4.5898 2.3042
Tb 4.7194 -1.6437 8.0728
Tb 6.2943 1.9347 3.0056
Tm -0.8680 -0.8290 6.7765
Tm -0.0793 -0.6041 3.4444
Tm 1.0480 2.7352 1.7919
Tm 1.1560 5.7035 3.7734
Tm 1.7045 -3.2000 7.2277
Tm 3.0721 -0.0271 2.1929
Tm 3.3832 4.4560 6.0387
Tm 4.7508 7.6290 1.0038
Tm 5.2993 -1.2746 4.4582
Tm 5.4073 1.6938 6.4397
Tm 6.5346 5.0330 4.7871
Tm 7.3232 5.2580 1.4551
Cd 3.2276 2.2145 4.1158


11.
! TbTm3Cd | Alexandria | PBE | relaxed; values from VASP
! DOS at the Fermi energy (states/eV per cell): 14.38
! Energy relative to the elements (meV/atom): -104.6
! Total energy (eV/atom): -3.897
! Size of the total moment (μB per atom): 0.079
&SYSTEM
  ibrav = 0, nat = 10, ntyp = 3
/
ATOMIC_SPECIES
Tb 158.93 Tb.upf
Tm 168.93 Tm.upf
Cd 112.41 Cd.upf
CELL_PARAMETERS angstrom
6.4151 -1.7973 0.0000
6.4151 1.7973 0.0000
-0.8888 0.0000 12.4859
ATOMIC_POSITIONS angstrom
Tb 2.7740 0.0000 3.1907
Tb 9.1674 0.0000 9.2952
Tm -0.1778 0.0000 8.5914
Tm 1.0350 0.0000 11.8067
Tm 4.2254 0.0000 6.4930
Tm 7.7160 0.0000 5.9929
Tm 10.9064 0.0000 0.6792
Tm 12.1192 0.0000 3.8945
Cd 4.9017 0.0000 10.9116
Cd 7.0397 0.0000 1.5742


12.
! Tb2Tm2Cd | Alexandria | PBE | relaxed; values from VASP
! DOS at the Fermi energy (states/eV per cell): 19.96
! Energy relative to the elements (meV/atom): 64.7
! Total energy (eV/atom): -3.759
! Size of the total moment (μB per atom): 0.000
&SYSTEM
  ibrav = 0, nat = 10, ntyp = 3
/
ATOMIC_SPECIES
Tb 158.93 Tb.upf
Tm 168.93 Tm.upf
Cd 112.41 Cd.upf
CELL_PARAMETERS angstrom
-2.5264 2.5264 12.3446
2.5264 -2.5264 12.3446
2.5264 2.5264 -12.3446
ATOMIC_POSITIONS angstrom
Tb 2.5264 1.2632 -4.9913
Tb 0.0000 1.2632 1.1810
Tb 2.5264 1.2632 11.1636
Tb 0.0000 1.2632 17.3359
Tm 2.5264 1.2632 -1.2735
Tm 0.0000 1.2632 4.8988
Tm 2.5264 1.2632 7.4458
Tm 0.0000 1.2632 13.6181
Cd 2.5264 -1.2632 9.2585
Cd 0.0000 3.7897 3.0862


13.
! TbTmCd | Alexandria | PBE | relaxed; values from VASP
! DOS at the Fermi energy (states/eV per cell): 3.47
! Energy relative to the elements (meV/atom): -74.7
! Total energy (eV/atom): -3.414
! Size of the total moment (μB per atom): 0.000
&SYSTEM
  ibrav = 0, nat = 3, ntyp = 3
/
ATOMIC_SPECIES
Tb 158.93 Tb.upf
Tm 168.93 Tm.upf
Cd 112.41 Cd.upf
CELL_PARAMETERS angstrom
5.2296 0.0000 0.0000
-2.6148 4.5289 0.0000
0.0000 0.0000 3.5357
ATOMIC_POSITIONS angstrom
Tb 0.0000 0.0000 0.0000
Tm 2.6148 1.5096 1.5802
Cd 0.0000 3.0193 2.4068


14.
! TbTm2Cd2 | Alexandria | PBE | relaxed; values from VASP
! DOS at the Fermi energy (states/eV per cell): 5.89
! Energy relative to the elements (meV/atom): -53.4
! Total energy (eV/atom): -3.134
! Size of the total moment (μB per atom): 0.000
&SYSTEM
  ibrav = 0, nat = 5, ntyp = 3
/
ATOMIC_SPECIES
Tb 158.93 Tb.upf
Tm 168.93 Tm.upf
Cd 112.41 Cd.upf
CELL_PARAMETERS angstrom
5.1540 0.0000 0.0000
-2.5770 4.4635 0.0000
0.0000 0.0000 6.3187
ATOMIC_POSITIONS angstrom
Tb 0.0000 0.0000 0.0000
Tm 0.0000 2.9757 4.1113
Tm 2.5770 1.4878 2.2074
Cd 0.0000 2.9757 1.0122
Cd 2.5770 1.4878 5.3064


15.
! Tb2TmCd2 | Alexandria | PBE | relaxed; values from VASP
! DOS at the Fermi energy (states/eV per cell): 9.23
! Energy relative to the elements (meV/atom): -252.7
! Total energy (eV/atom): -3.365
! Size of the total moment (μB per atom): 0.000
&SYSTEM
  ibrav = 0, nat = 10, ntyp = 3
/
ATOMIC_SPECIES
Tb 158.93 Tb.upf
Tm 168.93 Tm.upf
Cd 112.41 Cd.upf
CELL_PARAMETERS angstrom
1.8580 -13.7434 0.0000
1.8580 13.7434 0.0000
0.0000 0.0000 5.3057
ATOMIC_POSITIONS angstrom
Tb 1.8580 12.5109 3.9793
Tb 1.8580 7.2673 3.9793
Tb 1.8580 -7.2673 1.3264
Tb 1.8580 -12.5109 1.3264
Tm 1.8580 9.6304 1.3264
Tm 1.8580 -9.6304 3.9793
Cd 1.8580 3.8517 1.3264
Cd 1.8580 1.4885 3.9793
Cd 1.8580 -1.4885 1.3264
Cd 1.8580 -3.8517 3.9793


16.
! Tb5TmCd3 | Alexandria | PBE | relaxed; values from VASP
! DOS at the Fermi energy (states/eV per cell): 11.12
! Energy relative to the elements (meV/atom): -190.0
! Total energy (eV/atom): -3.564
! Size of the total moment (μB per atom): 0.000
&SYSTEM
  ibrav = 0, nat = 18, ntyp = 3
/
ATOMIC_SPECIES
Tb 158.93 Tb.upf
Tm 168.93 Tm.upf
Cd 112.41 Cd.upf
CELL_PARAMETERS angstrom
9.1963 0.0000 0.0000
-4.5981 7.9642 0.0000
0.0000 0.0000 6.9196
ATOMIC_POSITIONS angstrom
Tb -1.5265 2.6440 1.7299
Tb -3.0716 5.3202 5.1897
Tb 3.0531 0.0000 1.7299
Tb 1.5265 2.6440 5.1897
Tb 0.0000 5.3095 0.0000
Tb 0.0000 5.3095 3.4598
Tb 4.5981 2.6547 0.0000
Tb 4.5981 2.6547 3.4598
Tb 6.1432 0.0000 5.1897
Tb 3.0716 5.3202 1.7299
Tm 0.0000 0.0000 0.0000
Tm 0.0000 0.0000 3.4598
Cd -1.5324 2.6541 5.1897
Cd -3.0658 5.3101 1.7299
Cd 3.0647 0.0000 5.1897
Cd 1.5324 2.6541 1.7299
Cd 6.1315 0.0000 1.7299
Cd 3.0658 5.3101 5.1897


17.
! Tb5Tm3Cd2 | Alexandria | PBE | relaxed; values from VASP
! DOS at the Fermi energy (states/eV per cell): 24.53
! Energy relative to the elements (meV/atom): 204.7
! Total energy (eV/atom): -3.635
! Size of the total moment (μB per atom): 0.000
&SYSTEM
  ibrav = 0, nat = 20, ntyp = 3
/
ATOMIC_SPECIES
Tb 158.93 Tb.upf
Tm 168.93 Tm.upf
Cd 112.41 Cd.upf
CELL_PARAMETERS angstrom
-6.6073 7.2373 3.2930
6.6073 -7.2373 3.2930
6.6073 7.2373 -3.2930
ATOMIC_POSITIONS angstrom
Tb 1.3419 2.5126 0.0000
Tb 3.4303 7.2373 -1.6465
Tb 0.0000 0.0000 1.6465
Tb 3.1770 0.0000 1.6465
Tb 7.9492 4.7247 0.0000
Tb -1.3419 2.5126 3.2930
Tb 3.4303 7.2373 1.6465
Tb 0.0000 0.0000 4.9394
Tb 3.1770 0.0000 4.9394
Tb 5.2654 4.7247 3.2930
Tm 4.8323 3.0627 0.0000
Tm 6.6073 0.0000 1.6465
Tm 4.8323 -3.0627 3.2930
Tm 1.7750 10.3000 0.0000
Tm 0.0000 7.2373 1.6465
Tm 1.7750 4.1746 3.2930
Cd 8.3033 1.9193 0.0000
Cd 1.6960 5.3180 0.0000
Cd 4.9113 1.9193 3.2930
Cd -1.6960 5.3180 3.2930


18.
! Tb2Tm6Cd | Alexandria | PBE | relaxed; values from VASP
! DOS at the Fermi energy (states/eV per cell): 26.05
! Energy relative to the elements (meV/atom): -9.3
! Total energy (eV/atom): -4.121
! Size of the total moment (μB per atom): 0.000
&SYSTEM
  ibrav = 0, nat = 18, ntyp = 3
/
ATOMIC_SPECIES
Tb 158.93 Tb.upf
Tm 168.93 Tm.upf
Cd 112.41 Cd.upf
CELL_PARAMETERS angstrom
10.3615 0.0000 0.0000
0.0000 10.3615 0.0000
0.0000 0.0000 4.9241
ATOMIC_POSITIONS angstrom
Tb 1.6983 1.6983 0.0000
Tb 3.4824 6.8791 2.4621
Tb 6.8791 3.4824 2.4621
Tb 8.6631 8.6631 0.0000
Tm 10.3597 3.4542 2.4621
Tm 0.0018 6.9073 2.4621
Tm 1.7209 8.6406 0.0000
Tm 1.7265 5.1790 0.0000
Tm 3.4542 10.3597 2.4621
Tm 3.4599 3.4599 2.4621
Tm 5.1790 1.7265 0.0000
Tm 5.1825 8.6349 0.0000
Tm 6.9016 6.9016 2.4621
Tm 6.9073 0.0018 2.4621
Tm 8.6349 5.1825 0.0000
Tm 8.6406 1.7209 0.0000
Cd 0.0000 0.0000 2.4621
Cd 5.1807 5.1807 0.0000


19.
! TbTm5Cd4 | Alexandria | PBE | relaxed; values from VASP
! DOS at the Fermi energy (states/eV per cell): 12.46
! Energy relative to the elements (meV/atom): -235.2
! Total energy (eV/atom): -3.300
! Size of the total moment (μB per atom): 0.000
&SYSTEM
  ibrav = 0, nat = 10, ntyp = 3
/
ATOMIC_SPECIES
Tb 158.93 Tb.upf
Tm 168.93 Tm.upf
Cd 112.41 Cd.upf
CELL_PARAMETERS angstrom
3.6293 0.0000 0.0000
0.0000 3.6293 0.0000
0.0000 0.0000 20.2101
ATOMIC_POSITIONS angstrom
Tb 0.0000 0.0000 0.0000
Tm 1.8146 1.8146 2.4381
Tm 1.8146 1.8146 6.3134
Tm 1.8146 1.8146 10.1051
Tm 1.8146 1.8146 13.8967
Tm 1.8146 1.8146 17.7720
Cd 0.0000 0.0000 4.3836
Cd 0.0000 0.0000 8.1894
Cd 0.0000 0.0000 12.0207
Cd 0.0000 0.0000 15.8265


20.
! TbTmCd3 | Alexandria | PBE | relaxed; values from VASP
! DOS at the Fermi energy (states/eV per cell): 8.68
! Energy relative to the elements (meV/atom): -289.0
! Total energy (eV/atom): -2.658
! Size of the total moment (μB per atom): 0.000
&SYSTEM
  ibrav = 0, nat = 10, ntyp = 3
/
ATOMIC_SPECIES
Tb 158.93 Tb.upf
Tm 168.93 Tm.upf
Cd 112.41 Cd.upf
CELL_PARAMETERS angstrom
1.7259 -14.6554 0.0000
1.7259 14.6554 0.0000
0.0000 0.0000 4.9619
ATOMIC_POSITIONS angstrom
Tb 1.7259 12.4488 3.7214
Tb 1.7259 -12.4488 1.2405
Tm 1.7259 8.3306 1.2405
Tm 1.7259 -8.3306 3.7214
Cd 1.7259 5.1714 1.2405
Cd 1.7259 3.5775 3.7214
Cd 1.7259 0.7012 3.7214
Cd 1.7259 -0.7012 1.2405
Cd 1.7259 -3.5775 1.2405
Cd 1.7259 -5.1714 3.7214